(1)
Density functional theory data (GGA-PBE) for an optimized crystal structure of In6CuRh5.

## Properties
N(E_F) in states/eV/cell: 5.6
Formation enthalpy at 0 K in eV per atom: -0.33
Space-group type: No. 10

Cell: 4.6873 6.2625 7.1855 Å, 90.00 103.09 90.00°
Atoms (fractional coordinates):
Rh: 0.6763 0.5000 0.3291
Rh: 0.3091 0.0000 0.6741
Rh: 0.0000 0.5000 0.0000
Rh: 0.6909 0.0000 0.3259
Rh: 0.3237 0.5000 0.6709
Cu: 0.0000 0.0000 0.0000
In: 0.8175 0.7491 0.6628
In: 0.8175 0.2509 0.6628
In: 0.5000 0.2509 0.0000
In: 0.5000 0.7491 0.0000
In: 0.1825 0.7491 0.3372
In: 0.1825 0.2509 0.3372



(2)
Density functional theory data (GGA-PBE) for an optimized crystal structure of CuTeN.

## Properties
N(E_F) in states/eV/cell: 2.6
Space-group type: No. 1
Excess energy over the best structure of this formula in the dataset in meV/atom: 113

Cell: 4.3106 5.4815 5.5563 Å, 61.85 78.28 72.06°
Atoms (fractional coordinates):
Cu: 0.4899 0.4463 0.0844
Cu: 0.0469 0.1051 0.3502
Te: 0.3511 0.4201 0.6209
Te: 0.7647 0.8043 0.0587
N: 0.3661 0.1434 0.0641
N: 0.7533 0.0907 0.6441



(3)
Density functional theory data (GGA-PBE) for an optimized crystal structure of KHo2OsO8.

## Properties
N(E_F) in states/eV/cell: 3.4
Space-group type: No. 2
DFT total energy in eV per atom: -7.045

Cell: 5.2085 4.2924 7.1334 Å, 75.10 89.52 87.52°
Last column: magnetic moment on the atom in μB.
Atoms (fractional coordinates):
K: 0.0000 0.0000 0.5000  0.00
Ho: 0.5185 0.4091 0.7782  0.00
Ho: 0.4815 0.5909 0.2218  0.00
Os: 0.0000 0.0000 0.0000  0.01
O: 0.0350 0.6595 0.2261  0.00
O: 0.6961 0.8221 0.9191  0.00
O: 0.7811 0.2201 0.1309  0.00
O: 0.9650 0.3405 0.7739  0.00
O: 0.3039 0.1779 0.0809  0.00
O: 0.2189 0.7799 0.8691  0.00
O: 0.5053 0.7551 0.4917  0.14
O: 0.4947 0.2449 0.5083  0.14



(4)
Density functional theory data (GGA-PBE) for an optimized crystal structure of ZnSiAg.

## Properties
N(E_F) in states/eV/cell: 0.8
Space-group type: No. 42
Excess energy over the best structure of this formula in the dataset in meV/atom: 83

Cell: 6.8334 6.6534 2.8265 Å, 81.50 74.36 24.15°
Atoms (fractional coordinates):
Ag: 0.0027 0.0027 0.9973
Si: 0.3275 0.3275 0.6725
Zn: 0.6699 0.6699 0.3301



(5)
Density functional theory data (GGA-PBE) for an optimized crystal structure of LiTlP2PbO.

## Properties
N(E_F) in states/eV/cell: 0.6
Space-group type: No. 6
Excess energy over the best structure of this formula in the dataset in meV/atom: 4

Cell: 6.0293 3.3147 7.2162 Å, 90.00 110.65 90.00°
Atoms (fractional coordinates):
Li: 0.2993 0.5000 0.6312
Tl: 0.5777 0.5000 0.1322
P: 0.9189 0.0000 0.7007
P: 0.6807 0.5000 0.5574
Pb: 0.0670 0.0000 0.1156
O: 0.1487 0.0000 0.6427



(6)
Density functional theory data (GGA-PBE) for an optimized crystal structure of Pa3Zn7Ni4.

## Properties
N(E_F) in states/eV/cell: 11.9
Formation enthalpy at 0 K in eV per atom: -0.25
Space-group type: No. 12

Cell: 4.0301 7.7297 8.2369 Å, 70.55 75.84 74.89°
Atoms (fractional coordinates):
Pa: 0.2964 0.1941 0.2131
Pa: 0.7036 0.8059 0.7869
Pa: 0.0000 0.5000 0.5000
Zn: 0.3311 0.8321 0.5058
Zn: 0.4910 0.2128 0.8051
Zn: 0.8476 0.3787 0.9261
Zn: 0.6689 0.1679 0.4942
Zn: 0.1524 0.6213 0.0739
Zn: 0.0000 0.0000 0.0000
Zn: 0.5090 0.7872 0.1949
Ni: 0.6571 0.4454 0.2404
Ni: 0.3429 0.5546 0.7596
Ni: 0.8787 0.9169 0.3257
Ni: 0.1213 0.0831 0.6743



(7)
Density functional theory data (GGA-PBE) for an optimized crystal structure of Zn8Cu3Au2.

## Properties
N(E_F) in states/eV/cell: 4.0
Formation enthalpy at 0 K in eV per atom: -0.06
Space-group type: No. 65
Excess energy over the best structure of this formula in the dataset in meV/atom: 0

Cell: 3.9182 7.9061 7.9061 Å, 60.80 90.00 90.00°
Atoms (fractional coordinates):
Zn: 0.9998 0.6008 0.6008
Zn: 0.0002 0.3992 0.3992
Zn: 0.0001 0.1308 0.1308
Zn: 0.9999 0.8692 0.8692
Zn: 0.4999 0.6309 0.1315
Zn: 0.4999 0.1315 0.6309
Zn: 0.5001 0.8685 0.3691
Zn: 0.5001 0.3691 0.8685
Cu: 0.5000 0.0000 0.0000
Cu: 0.0000 0.2277 0.7723
Cu: 0.0000 0.7723 0.2277
Au: 0.5002 0.2599 0.2599
Au: 0.4998 0.7401 0.7401



(8)
Density functional theory data (GGA-PBE) for an optimized crystal structure of LaBi2Pb2.

## Properties
N(E_F) in states/eV/cell: 9.5
Formation enthalpy at 0 K in eV per atom: -0.19
Space-group type: No. 127
Excess energy over the best structure of this formula in the dataset in meV/atom: 234

Cell: 8.7269 8.7269 4.3340 Å, 90.00 90.00 90.00°
Atoms (fractional coordinates):
Pb: 0.3704 0.8704 0.0000
Pb: 0.8704 0.6296 0.0000
Pb: 0.6296 0.1296 0.0000
Pb: 0.1296 0.3704 0.0000
Bi: 0.1804 0.6804 0.5000
Bi: 0.6804 0.8196 0.5000
Bi: 0.8196 0.3196 0.5000
Bi: 0.3196 0.1804 0.5000
La: 0.0000 0.0000 0.0000
La: 0.5000 0.5000 0.0000